Computed, not measured: an optimized crystal structure of H2WF8 at the GGA+U level of DFT. Values from VASP.

Quantum ESPRESSO input file:
```
&SYSTEM
  ibrav = 0, nat = 11, ntyp = 3
/
ATOMIC_SPECIES
H 1.01 H.upf
W 183.84 W.upf
F 19.00 F.upf
ATOMIC_POSITIONS angstrom
H 2.622 3.704 5.422
H 2.793 1.702 2.828
W 0.000 0.000 0.000
F 0.616 1.999 5.695
F 4.350 0.620 4.676
F 1.480 4.834 6.665
F 3.936 0.571 1.585
F 1.066 4.785 3.574
F 4.799 3.407 2.555
F 3.504 3.422 5.239
F 1.912 1.983 3.011
CELL_PARAMETERS angstrom
5.393 -0.295 0.755
0.405 5.287 1.892
-0.382 0.414 5.602
```

**Calculated total energy**: -53.14 eV/f.u.
**Fermi-level density of states**: 0.0 states/eV per cell
**M_tot**: 0.010 μB per atom